Entry 1:
Density functional theory data (PBE) for crystalline CaZr2BrF at its relaxed geometry.

```
5
Lattice="4.9508 0.0000 0.0000 0.0000 4.9508 0.0000 0.0000 0.0000 6.0033" Properties=species:S:1:pos:R:3 pbc="T T T"
Ca 0.0000 0.0000 0.0000
Zr 0.0000 2.4754 3.0017
Zr 2.4754 0.0000 3.0017
Br 0.0000 0.0000 3.0017
F 2.4754 2.4754 0.0000
```

Computed properties:
- DOS(E_F) (states/eV/atom) = 1.183
- formation energy without anion corrections (eV/atom) = 0.2022



Entry 2:
Density functional theory data (PBE) for crystalline Sr3Li at its relaxed geometry.

```
4
Lattice="4.1200 0.0000 0.0000 0.0000 5.9807 0.0000 -1.8451 0.0000 7.7737" Properties=species:S:1:pos:R:3 pbc="T T T"
Sr 0.0000 0.0000 0.0000
Sr 0.3301 2.9904 5.6956
Sr 1.9448 2.9904 2.0781
Li -0.9226 0.0000 3.8869
```

Computed properties:
- DOS(E_F) (states/eV/atom) = 0.859
- formation energy from the elements (eV per formula unit) = 0.31
- excess energy over the best structure of this formula in the dataset (meV/atom) = 38



Entry 3:
Density functional theory data (PBE) for crystalline Cd3In8Ga2 at its relaxed geometry.

```
13
Lattice="8.9477 0.0000 0.0000 0.0000 4.7405 0.0000 -4.0210 0.0000 8.2150" Properties=species:S:1:pos:R:3 pbc="T T T"
Cd 0.0000 0.0000 0.0000
Cd 1.1485 2.3703 1.8758
Cd 3.7782 2.3703 6.3391
In -0.5523 0.0000 3.1129
In -1.9895 2.3703 6.9581
In 3.0106 0.0000 0.8517
In 0.9796 2.3703 4.9973
In 1.9161 0.0000 7.3633
In 3.9471 2.3703 3.2177
In 6.9162 2.3703 1.2568
In 5.4789 0.0000 5.1021
Ga -0.5844 0.0000 5.9758
Ga 5.5111 0.0000 2.2391
```

Computed properties:
- DOS(E_F) (states/eV/atom) = 0.374
- formation energy from the elements (eV per formula unit) = 0.68



Entry 4:
Density functional theory data (PBE) for crystalline CrCuAs2 at its relaxed geometry.

```
4
Lattice="1.4245 0.8224 9.8182 -1.4245 0.8224 9.8182 0.0000 -1.6448 9.8182" Properties=species:S:1:pos:R:3 pbc="T T T"
Cr 0.0000 0.0000 0.0000
Cu 0.0000 0.0000 7.7984
As 0.0000 0.0000 15.6018
As 0.0000 0.0000 21.5318
```

Computed properties:
- DOS(E_F) (states/eV/atom) = 0.728
- formation energy from the elements (eV per formula unit) = 1.38



Entry 5:
Density functional theory data (PBE) for crystalline KFeSe2 at its relaxed geometry.

```
4
Lattice="4.9091 0.0000 0.0000 0.0000 4.0983 0.0000 -0.1224 0.0000 6.7468" Properties=species:S:1:pos:R:3 pbc="T T T"
K 0.0000 0.0000 0.0000
Fe 2.3770 2.0491 3.1176
Se 2.3337 0.0000 4.2947
Se 2.4535 2.0491 0.8879
```

Computed properties:
- DOS(E_F) (states/eV/atom) = 0.923
- formation energy without anion corrections (eV/atom) = -0.3606



Entry 6:
Density functional theory data (PBE) for crystalline KTlOsO6 at its relaxed geometry.

```
9
Lattice="5.0211 0.0000 0.0000 2.0511 5.5295 0.0000 0.4458 2.2698 5.5831" Properties=species:S:1:pos:R:3 pbc="T T T"
K 0.0000 0.0000 0.0000
Tl 2.1399 2.2444 2.0310
Os 5.8443 5.3087 3.5853
O 1.6871 4.7757 5.0558
O 1.9713 4.2407 2.2515
O 4.7313 6.4895 4.3187
O 4.8536 5.9232 1.6760
O 4.7567 3.9198 3.4183
O 7.0446 6.5291 2.9924
```

Computed properties:
- formation energy without anion corrections (eV/atom) = -0.9128